Entry a
Density functional theory data (PBE) for a relaxed structure of SrBeB.

abc: 4.1253 9.6815 5.9589
angles: 90.00 120.08 90.00
Element x y z (fractional)
B  0.1031  0.5000  0.1605
B  0.6944  0.0000  0.3922
B  0.1031  0.0000  0.6605
B  0.6944  0.5000  0.8922
Sr  0.6958  0.6858  0.2901
Sr  0.6958  0.8142  0.7901
Sr  0.6958  0.3142  0.2901
Sr  0.6958  0.1858  0.7901
Be  0.3711  0.5000  0.5401
Be  0.1411  0.5000  0.8381
Be  0.1411  0.0000  0.3381
Be  0.3711  0.0000  0.0401

Symmetry = Cm, No. 8



Entry b
Density functional theory data (PBE) for a relaxed structure of SrBeB.

abc: 3.7763 3.2522 8.8376
angles: 90.00 94.49 90.00
Element x y z (fractional)
B  0.3820  0.7500  0.4862
B  0.6180  0.2500  0.5138
Sr  0.2886  0.2500  0.2035
Sr  0.7114  0.7500  0.7965
Be  0.1352  0.2500  0.5599
Be  0.8648  0.7500  0.4401

Symmetry = P2_1/m, No. 11



Entry c
Density functional theory data (PBE) for a relaxed structure of SrBeB.

abc: 8.6522 4.8773 5.5652
angles: 90.00 91.44 90.00
Element x y z (fractional)
Sr  0.2067  0.0000  0.7518
Sr  0.2067  0.5000  0.2518
Sr  0.7933  0.5000  0.7482
Sr  0.7933  0.0000  0.2482
Be  0.4538  0.0000  0.3211
Be  0.4538  0.5000  0.8211
Be  0.5462  0.0000  0.6789
Be  0.5462  0.5000  0.1789
B  0.5000  0.3365  0.5000
B  0.5000  0.1635  0.0000
B  0.5000  0.8365  0.0000
B  0.5000  0.6635  0.5000

Symmetry = C2/m, No. 12



The structures above, arranged from the most stable to the least stable: entry b, entry c, entry a.